VASP calculation (GGA-PBE) on a relaxed structure of TmTlNiTe3.

Cell lengths 16.2165, 4.1538, 11.1089 Å; angles 90.00, 90.00, 90.00 degrees
Positions (direct):
Te 0.5777 0.7500 0.9026
Ni 0.5102 0.7500 0.1073
Te 0.4223 0.2500 0.0974
Tl 0.2376 0.2500 0.4795
Tm 0.0219 0.2500 0.1623
Te 0.6393 0.7500 0.2365
Tl 0.2624 0.7500 0.9795
Te 0.3607 0.2500 0.7635
Te 0.1036 0.2500 0.9199
Te 0.1393 0.7500 0.2635
Ni 0.4898 0.2500 0.8927
Tl 0.7624 0.7500 0.5205
Te 0.9223 0.2500 0.4026
Ni 0.0102 0.7500 0.3927
Tl 0.7376 0.2500 0.0205
Te 0.8964 0.7500 0.0801
Tm 0.5219 0.2500 0.3377
Te 0.0777 0.7500 0.5974
Tm 0.9781 0.7500 0.8377
Te 0.8607 0.2500 0.7365
Te 0.3964 0.7500 0.4199
Ni 0.9898 0.2500 0.6073
Tm 0.4781 0.7500 0.6623
Te 0.6036 0.2500 0.5801

Summary:
Its symmetry is No. 62. The total energy comes out at -4.310 eV per atom.